(1)
Here is a relaxed GaTeS2 crystal from Alexandria. Energies are from PBE-GGA.

abc: 3.6236 3.6236 23.8985
angles: 90.00 90.00 120.00
Element x y z (fractional)
Ga 0.0000 0.0000 0.0000
Ga 0.3333 0.6667 0.6667
Ga 0.6667 0.3333 0.3333
Te 0.0000 0.0000 0.5000
Te 0.3333 0.6667 0.1667
Te 0.6667 0.3333 0.8333
S 0.0000 0.0000 0.3892
S 0.0000 0.0000 0.6108
S 0.3333 0.6667 0.0558
S 0.3333 0.6667 0.2775
S 0.6667 0.3333 0.7225
S 0.6667 0.3333 0.9442

## Properties
* distance to the lowest polymorph of the same formula: 0.000 eV per atom
* energy relative to the elements, uncorrected: -0.263 eV/atom
* D(E_F): 0.3127 states/eV/atom

(2)
Here is a relaxed VSBrN2 crystal from Alexandria. Energies are from PBE-GGA.

abc: 3.7478 3.7478 5.4043
angles: 90.00 90.00 90.00
Element x y z (fractional)
V 0.0000 0.0000 0.0000
S 0.0000 0.0000 0.5000
Br 0.5000 0.5000 0.5000
N 0.0000 0.5000 0.0000
N 0.5000 0.0000 0.0000

## Properties
* distance to the lowest polymorph of the same formula: 0.000 eV per atom
* energy relative to the elements, uncorrected: 0.550 eV/atom
* D(E_F): 0.4664 states/eV/atom

Sequential final energy output: -3.869, -5.764 eV/atom